VASP calculation (SCAN) on a crystal of Tl2CoIr relaxed with PBEsol.

extended XYZ file:
```
4
Lattice="3.1377 0.0000 0.0000 0.0000 4.3718 0.0000 0.0000 0.0000 5.1818" Properties=species:S:1:pos:R:3 pbc="T T T"
Tl 0.0000 0.0000 0.0000
Co 1.5688 2.1859 0.0000
Ir 0.0000 2.1859 2.5909
Tl 1.5688 0.0000 2.5909
```

Properties
**Space-group type**: Pmmm (47)
**DFT total energy**: -57.55 eV per atom
**Crystal system**: orthorhombic
**Energy of formation**: 16.75 kcal/mol of atoms
**Spin magnetization**: 1.67 μB/cell
**Volume**: 17.77 Å³ per atom

=====

VASP calculation (SCAN) on a crystal of TlAu3 relaxed with PBEsol.

extended XYZ file:
```
4
Lattice="4.1372 0.0000 0.0000 0.0000 4.1372 0.0000 -2.0686 -2.0686 4.3514" Properties=species:S:1:pos:R:3 pbc="T T T"
Au 2.0686 0.0000 2.1757
Au 0.0000 2.0686 2.1757
Au 2.0686 2.0686 0.0000
Tl 0.0000 0.0000 0.0000
```

Properties
**Space-group type**: I4/mmm (139)
**DFT total energy**: -69.85 eV per atom
**Crystal system**: tetragonal
**Energy of formation**: 2.45 kcal/mol of atoms
**Spin magnetization**: 0.00 μB/cell
**Volume**: 18.62 Å³ per atom

=====

VASP calculation (SCAN) on a crystal of LiBeCl relaxed with PBEsol.

extended XYZ file:
```
3
Lattice="4.3633 0.0000 0.0000 2.1816 3.7787 0.0000 2.1816 1.2596 3.5626" Properties=species:S:1:pos:R:3 pbc="T T T"
Be 0.0000 0.0000 0.0000
Cl 4.3633 2.5191 1.7813
Li 2.1816 1.2596 0.8907
```

Properties
**Space-group type**: F-43m (216)
**Relative energy among the computed polymorphs**: 0.464 eV per atom
**DFT total energy**: -4.77 eV per atom
**Crystal system**: cubic
**Formation energy without anion corrections**: 140.7 meV/atom
**Spin magnetization**: 0.00 μB/cell
**Volume**: 19.58 Å³ per atom

=====

VASP calculation (SCAN) on a crystal of ScTaHg2 relaxed with PBEsol.

extended XYZ file:
```
4
Lattice="3.0423 0.0000 0.0000 -1.5212 4.9008 0.0003 0.0000 -0.9250 5.3375" Properties=species:S:1:pos:R:3 pbc="T T T"
Hg 0.0000 2.2242 1.2956
Ta 1.5212 0.0000 0.0000
Sc 0.0000 -0.4625 2.6688
Hg 1.5212 1.7517 4.0422
```

Properties
**Space-group type**: C2/m (12)
**DFT total energy**: -54.21 eV per atom
**Crystal system**: monoclinic
**Energy of formation**: 1.75 kcal/mol of atoms
**Spin magnetization**: 0.00 μB/cell
**Volume**: 19.90 Å³ per atom

=====

VASP calculation (SCAN) on a crystal of TaNbO3 relaxed with PBEsol.

extended XYZ file:
```
5
Lattice="-2.1283 -0.4919 3.3374 -0.4067 -3.8799 -0.8311 3.3489 -0.7837 2.0201" Properties=species:S:1:pos:R:3 pbc="T T T"
Ta 0.4070 -2.5778 2.2632
O 1.6744 -0.3919 1.0100
O -0.2033 -1.9400 -0.4156
O -1.0641 -0.2459 1.6687
Nb 0.0000 0.0000 0.0000
```

Properties
**Space-group type**: Pm-3m (221)
**DFT total energy**: -24.76 eV per atom
**Crystal system**: cubic
**Formation energy without anion corrections**: -1075.8 meV/atom
**Spin magnetization**: 2.99 μB/cell
**Volume**: 12.69 Å³ per atom

=====

VASP calculation (SCAN) on a crystal of SiMoN2O relaxed with PBEsol.

extended XYZ file:
```
5
Lattice="3.7983 0.0000 0.0000 0.0000 3.9378 0.0000 0.0000 0.0000 3.9378" Properties=species:S:1:pos:R:3 pbc="T T T"
O 1.8992 0.0000 0.0000
Mo 0.0000 0.0000 0.0000
Si 1.8992 1.9689 1.9689
N 0.0000 1.9689 0.0000
N 0.0000 0.0000 1.9689
```

Properties
**Space-group type**: P4/mmm (123)
**DFT total energy**: -13.82 eV per atom
**Crystal system**: tetragonal
**Formation energy without anion corrections**: 123.6 meV/atom
**Spin magnetization**: 0.00 μB/cell
**Volume**: 11.78 Å³ per atom

=====

VASP calculation (SCAN) on a crystal of Ca4Al6WO16 relaxed with PBEsol.

extended XYZ file:
```
108
Lattice="8.0338 -0.0003 0.0000 -2.6199 7.5945 0.0000 0.0000 0.0000 26.1402" Properties=species:S:1:pos:R:3 pbc="T T T"
Ca 6.5662 3.8828 6.5454
Ca 1.3349 7.0950 25.6833
W 5.4988 1.8306 3.5884
O 1.7462 0.3925 13.9340
Al 4.1180 2.7306 11.5163
W 0.1720 5.6280 9.4817
O 5.0967 3.0687 2.3538
O 5.1306 1.3141 11.8719
Al 3.7804 2.7561 24.4990
Al 4.0532 5.7703 6.3524
O 1.4007 6.2793 8.3663
O 2.5611 1.8713 8.0018
O 2.2242 5.6770 13.4832
Al 1.3463 1.9732 6.7177
Al 6.7510 1.0450 8.0994
O -1.1933 7.1982 3.1798
Al 6.7039 0.9277 21.2996
Al -1.2088 6.5280 1.5539
O -1.3417 5.2188 8.5932
Al 4.1134 2.9253 21.1695
Ca 6.2719 3.5755 0.4569
O 1.5574 3.2248 5.5559
Ca 1.5294 7.4734 19.5948
Al 1.4241 4.8424 4.9707
Ca 6.6617 3.2976 13.5270
O 0.8208 4.1796 10.2791
O -0.4307 5.2787 14.2683
O 5.2680 5.6685 5.0684
O 0.0443 4.2308 21.6633
O 3.6835 2.1388 15.8611
O 1.4237 2.7333 1.4346
Al 4.0178 2.8426 8.2295
O 1.8670 5.0165 16.2499
O 4.4531 4.1896 25.2764
O 2.6891 5.4559 18.8240
Ca 1.8175 1.9367 3.6277
O 5.2462 5.8089 1.2378
O -0.0178 1.6587 20.3863
O 4.2808 4.3212 7.3162
Al -1.3090 6.6400 4.8406
O 4.2643 7.0220 7.5142
Ca 1.1786 1.9694 9.9383
O 2.5930 6.0703 5.4448
Al 1.4263 1.9161 19.4225
O 5.3711 0.4334 17.5470
Al 1.3771 4.7251 17.9107
O -1.6433 5.9363 23.3492
O 4.8930 4.4307 20.6954
Al 4.0276 5.6497 0.0000
Al 6.5654 0.9859 24.5864
O 1.5739 0.5241 5.7539
O 6.5659 2.0214 15.4240
O 3.7026 3.2794 22.8325
O 2.5086 5.5759 0.8639
O 4.8961 1.4813 24.9420
Al 6.6996 0.6750 11.4289
Ca 3.9451 6.1468 16.6978
O 5.2731 1.7244 20.6598
O 0.1525 7.1691 21.4364
O -0.1962 5.1115 1.1982
W -0.0626 5.7952 22.5518
Ca 1.2382 2.3497 22.5126
O 5.4794 3.3717 17.7739
O 2.1196 2.2372 24.7056
O 5.2375 1.7497 7.5897
Ca 4.1844 5.5535 23.0084
O 6.7275 2.4819 4.7038
O 1.0738 3.0565 14.3079
Al 1.2385 4.7833 14.6240
O 2.5407 2.5239 20.5844
O 3.6408 6.8285 21.0719
O 4.1335 3.4007 9.8903
O -0.0893 5.5472 5.4804
Ca -1.1775 3.6763 19.6155
Al 1.2315 1.7275 0.0000
O 6.1476 0.3822 2.7910
Al 1.3727 4.4724 1.6412
O 1.9345 0.1566 0.4131
O 3.9851 1.4214 4.4769
Ca 0.9451 7.3729 12.6132
O 3.7807 6.8536 24.9024
Ca 4.5244 5.7338 9.4424
Al 1.3206 1.8525 13.0701
O 5.2476 6.3210 18.6260
Ca 3.8855 5.7665 3.1318
O -0.0538 5.5218 18.5505
O -0.1984 1.7788 12.2063
O 2.1861 0.6335 18.5149
O -0.1139 2.2732 7.6253
O -1.6243 7.0769 16.3778
Al 3.9384 5.5246 13.0701
Al -1.2135 6.7228 18.0409
O -0.4828 1.8799 25.7271
Al 4.1332 5.7132 19.7878
O 7.2197 0.7721 9.7624
O 4.1307 6.5304 11.6355
O -0.2301 6.8661 10.7163
Al -1.5465 6.5535 14.7113
O 0.9339 3.0313 18.1385
O 1.8928 4.5696 3.3077
O 2.5393 2.0118 11.8323
O 4.6414 3.9537 12.6570
O 1.2390 5.8188 23.7864
W 5.2643 1.9977 16.6585
Ca 3.8593 0.0857 6.5247
O 7.1938 1.2191 22.9604
O 4.8266 6.0343 14.5047
Ca 1.4774 1.7563 16.2019
```

Properties
**Space-group type**: Aea2 (41)
**Relative energy among the computed polymorphs**: 0.000 eV per atom
**DFT total energy**: -12.65 eV per atom
**Crystal system**: orthorhombic
**Formation energy without anion corrections**: -3224.0 meV/atom
**Spin magnetization**: 0.00 μB/cell
**Volume**: 14.77 Å³ per atom

=====

VASP calculation (SCAN) on a crystal of Na2OsO4 relaxed with PBEsol.

extended XYZ file:
```
21
Lattice="-0.3126 2.1128 2.3373 -0.2907 -7.0931 6.3729 8.3630 3.9055 -2.4120" Properties=species:S:1:pos:R:3 pbc="T T T"
Na -0.3576 -3.8555 5.5819
O 1.5744 -4.7059 4.4644
Na 5.6350 3.7610 -0.5017
Na 2.4376 -2.3705 4.6133
O 4.2406 -0.6798 3.3261
O -0.2125 -0.3145 2.4004
Os 5.4224 -2.1412 2.6607
O 6.3965 -0.9550 1.7187
O 6.4778 1.5262 -0.5133
Os -0.0954 -2.3285 2.0921
O 3.5610 0.1468 0.3435
O 1.4601 1.8112 0.7025
O 3.6515 2.8347 0.0704
Os 2.7454 1.2821 -0.7918
Na 2.3260 0.0762 2.3867
Na 0.0000 0.0000 0.0000
O 4.5106 -3.3520 3.6332
O 1.6966 -2.2229 2.2362
Na 5.3222 1.2957 1.6849
O -0.2887 -2.1732 4.0703
O 6.3559 -1.5151 4.3640
```

Properties
**Space-group type**: P-62m (189)
**DFT total energy**: -16.51 eV per atom
**Crystal system**: hexagonal
**Formation energy without anion corrections**: -1480.0 meV/atom
**Spin magnetization**: 0.00 μB/cell
**Volume**: 11.88 Å³ per atom

=====

VASP calculation (SCAN) on a crystal of CuPt2Rh relaxed with PBEsol.

extended XYZ file:
```
4
Lattice="-1.5358 -0.8756 2.0412 -0.0528 -3.3338 -3.2560 3.8291 -1.2544 2.3429" Properties=species:S:1:pos:R:3 pbc="T T T"
Pt -0.1836 -2.6637 0.5054
Cu 2.4772 -2.8225 0.6531
Rh 1.1281 -1.0727 2.1748
Pt 2.2058 -5.4335 1.1151
```

Properties
**Space-group type**: Cm (8)
**DFT total energy**: -47.41 eV per atom
**Crystal system**: monoclinic
**Energy of formation**: -1.68 kcal/mol of atoms
**Spin magnetization**: 0.00 μB/cell
**Volume**: 13.82 Å³ per atom

=====

VASP calculation (SCAN) on a crystal of HgW relaxed with PBEsol.

extended XYZ file:
```
4
Lattice="2.7730 0.0000 0.0000 -1.3865 4.8617 -0.0007 0.0000 -0.5336 5.1971" Properties=species:S:1:pos:R:3 pbc="T T T"
W 0.0000 3.5936 0.5215
Hg 0.0000 0.9884 1.9978
Hg 1.3865 3.3397 3.1986
W 1.3865 0.7345 4.6749
```

Properties
**Space-group type**: C2/m (12)
**Relative energy among the computed polymorphs**: 0.000 eV per atom
**DFT total energy**: -68.07 eV per atom
**Crystal system**: monoclinic
**Energy of formation**: 19.80 kcal/mol of atoms
**Spin magnetization**: 0.00 μB/cell
**Volume**: 17.52 Å³ per atom

=====

VASP calculation (SCAN) on a crystal of Tl2GeB relaxed with PBEsol.

extended XYZ file:
```
4
Lattice="4.9045 0.0000 0.0000 2.4523 4.2475 0.0000 2.4523 1.4158 4.0045" Properties=species:S:1:pos:R:3 pbc="T T T"
Ge 4.9045 2.8316 2.0023
Tl 7.3568 4.2475 3.0034
B 0.0000 0.0000 0.0000
Tl 2.4523 1.4158 1.0011
```

Properties
**Space-group type**: Fm-3m (225)
**DFT total energy**: -41.67 eV per atom
**Crystal system**: cubic
**Energy of formation**: 26.18 kcal/mol of atoms
**Spin magnetization**: 0.00 μB/cell
**Volume**: 20.86 Å³ per atom

=====

VASP calculation (SCAN) on a crystal of La2AlCl relaxed with PBEsol.

extended XYZ file:
```
4
Lattice="-1.2007 -0.0366 3.5847 0.4223 -4.7441 0.0931 5.7025 0.5453 1.9156" Properties=species:S:1:pos:R:3 pbc="T T T"
La 2.4012 0.2589 2.3014
Cl 2.0121 -2.1314 4.1399
Al -0.4507 -0.0137 1.3455
La -0.8397 -2.4040 3.1838
```

Properties
**Space-group type**: Pmmm (47)
**Relative energy among the computed polymorphs**: 0.001 eV per atom
**DFT total energy**: -26.56 eV per atom
**Crystal system**: orthorhombic
**Formation energy without anion corrections**: -1076.9 meV/atom
**Spin magnetization**: 0.00 μB/cell
**Volume**: 27.20 Å³ per atom

=====

> Which value of spin magnetization does entry 11 give?

0.00 μB/cell